(1)
This record from the Alexandria database describes a relaxed Rb2PaBi3O12 crystal. The functional is PBE-GGA.

a = 8.0297 Å, b = 8.0297 Å, c = 8.0297 Å
α = 57.90°, β = 57.90°, γ = 57.90°
Closest atoms and distances in Å follow each position.
Element x y z (fractional)
Rb 0.1114 0.1114 0.1114  3 O 3.13
Rb 0.8886 0.8886 0.8886  3 O 3.13
Pa 0.5000 0.5000 0.5000  6 O 2.13
Bi 0.0000 0.5000 0.5000  6 O 2.13-2.14
Bi 0.5000 0.0000 0.5000  6 O 2.13-2.14
Bi 0.5000 0.5000 0.0000  6 O 2.13-2.14
O 0.1690 0.1690 0.5822  2 Bi 2.14
O 0.1690 0.5822 0.1690  2 Bi 2.14
O 0.1817 0.5644 0.5644  1 Pa 2.13, 1 Bi 2.13
O 0.4178 0.8310 0.8310  2 Bi 2.14
O 0.4356 0.4356 0.8183  1 Pa 2.13, 1 Bi 2.13
O 0.4356 0.8183 0.4356  1 Pa 2.13, 1 Bi 2.13
O 0.5644 0.1817 0.5644  1 Pa 2.13, 1 Bi 2.13
O 0.5644 0.5644 0.1817  1 Pa 2.13, 1 Bi 2.13
O 0.5822 0.1690 0.1690  2 Bi 2.14
O 0.8183 0.4356 0.4356  1 Pa 2.13, 1 Bi 2.13
O 0.8310 0.4178 0.8310  2 Bi 2.14
O 0.8310 0.8310 0.4178  2 Bi 2.14

## Properties
V in Å³/atom: 19.36
VASP energy in eV per atom: -5.9471
N(E_F) in states/eV/cell: 11.412

(2)
This record from the Alexandria database describes a relaxed Rb3PaBi2O9 crystal. The functional is PBE-GGA.

a = 6.1362 Å, b = 6.1362 Å, c = 7.5365 Å
α = 90.00°, β = 90.00°, γ = 120.00°
Closest atoms and distances in Å follow each position.
Element x y z (fractional)
Rb 0.0000 0.0000 0.0000  12 O 3.07-3.08
Rb 0.3333 0.6667 0.6734  12 O 3.03-3.11
Rb 0.6667 0.3333 0.3266  12 O 3.03-3.11
Pa 0.0000 0.0000 0.5000  6 O 2.17
Bi 0.3333 0.6667 0.1667  6 O 2.17-2.18
Bi 0.6667 0.3333 0.8333  6 O 2.17-2.18
O 0.0000 0.5000 0.0000  2 Bi 2.17
O 0.1667 0.3335 0.3347  1 Pa 2.17, 1 Bi 2.18
O 0.1667 0.8333 0.3347  1 Pa 2.17, 1 Bi 2.18
O 0.3335 0.1667 0.6653  1 Pa 2.17, 1 Bi 2.18
O 0.5000 0.0000 0.0000  2 Bi 2.17
O 0.5000 0.5000 0.0000  2 Bi 2.17
O 0.6665 0.8333 0.3347  1 Pa 2.17, 1 Bi 2.18
O 0.8333 0.1667 0.6653  1 Pa 2.17, 1 Bi 2.18
O 0.8333 0.6665 0.6653  1 Pa 2.17, 1 Bi 2.18

## Properties
V in Å³/atom: 16.38
VASP energy in eV per atom: -6.0826
N(E_F) in states/eV/cell: 5.548